w.
Computed, not measured: V2Pd4Au after structural relaxation at the GGA-PBE level of DFT.

Values from the calculation:
Total magnetization in Bohr magnetons per cell: 0.0

Structure (CIF):
```
data_V2Pd4Au
_chemical_formula_sum 'V2 Pd4 Au1'
_cell_length_a 4.9277
_cell_length_b 2.6908
_cell_length_c 8.9909
_cell_angle_alpha 90.00
_cell_angle_beta 90.00
_cell_angle_gamma 90.00
_space_group_name_H-M_alt 'P 1'
_space_group_IT_number 1
loop_
_space_group_symop_operation_xyz
'x,y,z'
loop_
_atom_site_label
_atom_site_type_symbol
_atom_site_fract_x
_atom_site_fract_y
_atom_site_fract_z
V1 V 0.0000 0.5000 0.5000
V2 V 0.5000 0.0000 0.5000
Au1 Au 0.0000 0.0000 0.0000
Pd1 Pd 0.7482 0.2840 0.7387
Pd2 Pd 0.2518 0.2840 0.2613
Pd3 Pd 0.2518 0.7160 0.7387
Pd4 Pd 0.7482 0.7160 0.2613
```

x.
Computed, not measured: V2Pd4Au after structural relaxation at the GGA-PBE level of DFT.

Values from the calculation:
Total magnetization in Bohr magnetons per cell: 7.4

Structure (CIF):
```
data_V2Pd4Au
_chemical_formula_sum 'V4 Pd8 Au2'
_cell_length_a 6.7773
_cell_length_b 5.0998
_cell_length_c 7.2437
_cell_angle_alpha 90.00
_cell_angle_beta 117.17
_cell_angle_gamma 90.00
_space_group_name_H-M_alt 'P 1'
_space_group_IT_number 1
loop_
_space_group_symop_operation_xyz
'x,y,z'
loop_
_atom_site_label
_atom_site_type_symbol
_atom_site_fract_x
_atom_site_fract_y
_atom_site_fract_z
Pd1 Pd 0.0142 0.7500 0.4247
Pd2 Pd 0.6067 0.4970 0.2284
Pd3 Pd 0.3933 0.5030 0.7716
Pd4 Pd 0.9858 0.2500 0.5753
Pd5 Pd 0.9680 0.2500 0.1994
Pd6 Pd 0.3933 0.9970 0.7716
Pd7 Pd 0.6067 0.0030 0.2284
Pd8 Pd 0.0320 0.7500 0.8006
V1 V 0.2203 0.2500 0.9987
V2 V 0.7797 0.7500 0.0013
V3 V 0.6202 0.7500 0.5690
V4 V 0.3798 0.2500 0.4310
Au1 Au 0.7589 0.2500 0.7874
Au2 Au 0.2411 0.7500 0.2126
```

y.
Computed, not measured: V2Pd4Au after structural relaxation at the GGA-PBE level of DFT.

Values from the calculation:
Total magnetization in Bohr magnetons per cell: 0.0

Structure (CIF):
```
data_V2Pd4Au
_chemical_formula_sum 'V2 Pd4 Au1'
_cell_length_a 4.9748
_cell_length_b 4.9748
_cell_length_c 6.9806
_cell_angle_alpha 69.12
_cell_angle_beta 69.12
_cell_angle_gamma 90.00
_space_group_name_H-M_alt 'P 1'
_space_group_IT_number 1
loop_
_space_group_symop_operation_xyz
'x,y,z'
loop_
_atom_site_label
_atom_site_type_symbol
_atom_site_fract_x
_atom_site_fract_y
_atom_site_fract_z
Au1 Au 0.0000 0.0000 0.0000
Pd1 Pd 0.7785 0.7785 0.4429
Pd2 Pd 0.0000 0.5000 0.0000
Pd3 Pd 0.2215 0.2215 0.5571
Pd4 Pd 0.5000 0.0000 0.0000
V1 V 0.5839 0.5839 0.8323
V2 V 0.4161 0.4161 0.1677
```

If we sort the structures by their calculated energies, the order from most to least stable is x, w, y.

w.
Computed, not measured: VPdAu after structural relaxation at the GGA-PBE level of DFT.

Values from the calculation:
Total magnetization in Bohr magnetons per cell: 5.0

Structure (CIF):
```
data_VPdAu
_chemical_formula_sum 'V4 Pd4 Au4'
_cell_length_a 8.3823
_cell_length_b 4.7983
_cell_length_c 5.6681
_cell_angle_alpha 124.95
_cell_angle_beta 90.00
_cell_angle_gamma 90.00
_space_group_name_H-M_alt 'P 1'
_space_group_IT_number 1
loop_
_space_group_symop_operation_xyz
'x,y,z'
loop_
_atom_site_label
_atom_site_type_symbol
_atom_site_fract_x
_atom_site_fract_y
_atom_site_fract_z
Au1 Au 0.7442 0.2500 0.7499
Au2 Au 0.2558 0.7500 0.2501
Au3 Au 0.7558 0.2500 0.2499
Au4 Au 0.2442 0.7500 0.7501
Pd1 Pd 0.5777 0.7500 0.7500
Pd2 Pd 0.9223 0.7500 0.2500
Pd3 Pd 0.0777 0.2500 0.7500
Pd4 Pd 0.4223 0.2500 0.2500
V1 V 0.5829 0.7500 0.2500
V2 V 0.0829 0.2500 0.2500
V3 V 0.4171 0.2500 0.7500
V4 V 0.9171 0.7500 0.7500
```

x.
Computed, not measured: VPdAu after structural relaxation at the GGA-PBE level of DFT.

Values from the calculation:
Total magnetization in Bohr magnetons per cell: 3.7

Structure (CIF):
```
data_VPdAu
_chemical_formula_sum 'V2 Pd2 Au2'
_cell_length_a 3.8809
_cell_length_b 4.9287
_cell_length_c 5.7028
_cell_angle_alpha 107.64
_cell_angle_beta 90.00
_cell_angle_gamma 113.19
_space_group_name_H-M_alt 'P 1'
_space_group_IT_number 1
loop_
_space_group_symop_operation_xyz
'x,y,z'
loop_
_atom_site_label
_atom_site_type_symbol
_atom_site_fract_x
_atom_site_fract_y
_atom_site_fract_z
Pd1 Pd 0.9931 0.9861 0.2320
Pd2 Pd 0.0069 0.0139 0.7680
V1 V 0.6647 0.3293 0.0827
V2 V 0.3353 0.6707 0.9173
Au1 Au 0.6716 0.3432 0.5967
Au2 Au 0.3284 0.6568 0.4033
```

y.
Computed, not measured: VPdAu after structural relaxation at the GGA-PBE level of DFT.

Values from the calculation:
Total magnetization in Bohr magnetons per cell: 0.0

Structure (CIF):
```
data_VPdAu
_chemical_formula_sum 'V1 Pd1 Au1'
_cell_length_a 2.8023
_cell_length_b 2.8023
_cell_length_c 6.2430
_cell_angle_alpha 102.97
_cell_angle_beta 102.97
_cell_angle_gamma 90.00
_space_group_name_H-M_alt 'P 1'
_space_group_IT_number 1
loop_
_space_group_symop_operation_xyz
'x,y,z'
loop_
_atom_site_label
_atom_site_type_symbol
_atom_site_fract_x
_atom_site_fract_y
_atom_site_fract_z
Pd1 Pd 0.3213 0.3213 0.6426
Au1 Au 0.0067 0.0067 0.0133
V1 V 0.6720 0.6720 0.3441
```

If we sort the structures by their calculated energies, the order from most to least stable is y, w, x.

w.
Computed, not measured: VPdAu after structural relaxation at the GGA-PBE level of DFT.

Values from the calculation:
Total magnetization in Bohr magnetons per cell: 0.0

Structure (CIF):
```
data_VPdAu
_chemical_formula_sum 'V2 Pd2 Au2'
_cell_length_a 4.8551
_cell_length_b 4.8167
_cell_length_c 5.6574
_cell_angle_alpha 125.85
_cell_angle_beta 106.89
_cell_angle_gamma 60.25
_space_group_name_H-M_alt 'P 1'
_space_group_IT_number 1
loop_
_space_group_symop_operation_xyz
'x,y,z'
loop_
_atom_site_label
_atom_site_type_symbol
_atom_site_fract_x
_atom_site_fract_y
_atom_site_fract_z
V1 V 0.6328 0.8826 0.8198
V2 V 0.6228 0.8873 0.3201
Pd1 Pd 0.9543 0.2216 0.3200
Pd2 Pd 0.3013 0.5483 0.8199
Au1 Au 0.3034 0.5470 0.3198
Au2 Au 0.9522 0.2229 0.8200
```

x.
Computed, not measured: VPdAu after structural relaxation at the GGA-PBE level of DFT.

Values from the calculation:
Total magnetization in Bohr magnetons per cell: 0.0

Structure (CIF):
```
data_VPdAu
_chemical_formula_sum 'V1 Pd1 Au1'
_cell_length_a 2.7441
_cell_length_b 4.4326
_cell_length_c 4.4326
_cell_angle_alpha 120.00
_cell_angle_beta 90.00
_cell_angle_gamma 90.00
_space_group_name_H-M_alt 'P 1'
_space_group_IT_number 1
loop_
_space_group_symop_operation_xyz
'x,y,z'
loop_
_atom_site_label
_atom_site_type_symbol
_atom_site_fract_x
_atom_site_fract_y
_atom_site_fract_z
V1 V 0.1835 0.3333 0.6667
Pd1 Pd 0.1504 0.0000 0.0000
Au1 Au 0.6661 0.6667 0.3333
```

If we sort the structures by their calculated energies, the order from most to least stable is w, x.

w.
Computed, not measured: VPd2Au2 after structural relaxation at the GGA-PBE level of DFT.

Values from the calculation:
Total magnetization in Bohr magnetons per cell: 4.2

Structure (CIF):
```
data_VPd2Au2
_chemical_formula_sum 'V2 Pd4 Au4'
_cell_length_a 6.5797
_cell_length_b 6.5797
_cell_length_c 4.0196
_cell_angle_alpha 90.00
_cell_angle_beta 90.00
_cell_angle_gamma 90.00
_space_group_name_H-M_alt 'P 1'
_space_group_IT_number 1
loop_
_space_group_symop_operation_xyz
'x,y,z'
loop_
_atom_site_label
_atom_site_type_symbol
_atom_site_fract_x
_atom_site_fract_y
_atom_site_fract_z
Pd1 Pd 0.6434 0.1434 0.0000
Pd2 Pd 0.8566 0.6434 0.0000
Pd3 Pd 0.3566 0.8566 0.0000
Pd4 Pd 0.1434 0.3566 0.0000
Au1 Au 0.1600 0.6600 0.5000
Au2 Au 0.3400 0.1600 0.5000
Au3 Au 0.8400 0.3400 0.5000
Au4 Au 0.6600 0.8400 0.5000
V1 V 0.0000 0.0000 0.0000
V2 V 0.5000 0.5000 0.0000
```

x.
Computed, not measured: VPd2Au2 after structural relaxation at the GGA-PBE level of DFT.

Values from the calculation:
Total magnetization in Bohr magnetons per cell: 0.0

Structure (CIF):
```
data_VPd2Au2
_chemical_formula_sum 'V1 Pd2 Au2'
_cell_length_a 2.8387
_cell_length_b 2.8387
_cell_length_c 10.1247
_cell_angle_alpha 98.06
_cell_angle_beta 98.06
_cell_angle_gamma 90.00
_space_group_name_H-M_alt 'P 1'
_space_group_IT_number 1
loop_
_space_group_symop_operation_xyz
'x,y,z'
loop_
_atom_site_label
_atom_site_type_symbol
_atom_site_fract_x
_atom_site_fract_y
_atom_site_fract_z
V1 V 0.0000 0.0000 0.0000
Au1 Au 0.8048 0.8048 0.6097
Au2 Au 0.1952 0.1952 0.3903
Pd1 Pd 0.4118 0.4118 0.8235
Pd2 Pd 0.5882 0.5882 0.1765
```

y.
Computed, not measured: VPd2Au2 after structural relaxation at the GGA-PBE level of DFT.

Values from the calculation:
Total magnetization in Bohr magnetons per cell: 0.0

Structure (CIF):
```
data_VPd2Au2
_chemical_formula_sum 'V2 Pd4 Au4'
_cell_length_a 4.7191
_cell_length_b 5.4280
_cell_length_c 7.1944
_cell_angle_alpha 108.59
_cell_angle_beta 109.15
_cell_angle_gamma 90.00
_space_group_name_H-M_alt 'P 1'
_space_group_IT_number 1
loop_
_space_group_symop_operation_xyz
'x,y,z'
loop_
_atom_site_label
_atom_site_type_symbol
_atom_site_fract_x
_atom_site_fract_y
_atom_site_fract_z
Pd1 Pd 0.1780 0.6813 0.1759
Pd2 Pd 0.9979 0.1813 0.1759
Pd3 Pd 0.8220 0.3187 0.8241
Pd4 Pd 0.0021 0.8187 0.8241
Au1 Au 0.6037 0.1252 0.3764
Au2 Au 0.2274 0.3748 0.6236
Au3 Au 0.7726 0.6252 0.3764
Au4 Au 0.3963 0.8748 0.6236
V1 V 0.5774 0.7500 0.0000
V2 V 0.4226 0.2500 0.0000
```

If we sort the structures by their calculated energies, the order from most to least stable is x, y, w.

w.
Computed, not measured: VPdAu3 after structural relaxation at the GGA-PBE level of DFT.

Values from the calculation:
Total magnetization in Bohr magnetons per cell: 0.0

Structure (CIF):
```
data_VPdAu3
_chemical_formula_sum 'V2 Pd2 Au6'
_cell_length_a 2.8551
_cell_length_b 9.2405
_cell_length_c 6.6756
_cell_angle_alpha 105.57
_cell_angle_beta 90.00
_cell_angle_gamma 90.00
_space_group_name_H-M_alt 'P 1'
_space_group_IT_number 1
loop_
_space_group_symop_operation_xyz
'x,y,z'
loop_
_atom_site_label
_atom_site_type_symbol
_atom_site_fract_x
_atom_site_fract_y
_atom_site_fract_z
Au1 Au 0.7500 0.2468 0.9878
Au2 Au 0.2500 0.8584 0.4556
Au3 Au 0.2500 0.3609 0.3797
Au4 Au 0.7500 0.1416 0.5444
Au5 Au 0.7500 0.6391 0.6203
Au6 Au 0.2500 0.7532 0.0122
Pd1 Pd 0.7500 0.5603 0.1924
Pd2 Pd 0.2500 0.4397 0.8076
V1 V 0.7500 0.9483 0.8512
V2 V 0.2500 0.0517 0.1488
```

x.
Computed, not measured: VPdAu3 after structural relaxation at the GGA-PBE level of DFT.

Values from the calculation:
Total magnetization in Bohr magnetons per cell: 3.4

Structure (CIF):
```
data_VPdAu3
_chemical_formula_sum 'V1 Pd1 Au3'
_cell_length_a 4.9910
_cell_length_b 4.9910
_cell_length_c 4.9910
_cell_angle_alpha 90.00
_cell_angle_beta 90.00
_cell_angle_gamma 90.00
_space_group_name_H-M_alt 'P 1'
_space_group_IT_number 1
loop_
_space_group_symop_operation_xyz
'x,y,z'
loop_
_atom_site_label
_atom_site_type_symbol
_atom_site_fract_x
_atom_site_fract_y
_atom_site_fract_z
V1 V 0.5000 0.5000 0.5000
Au1 Au 0.0000 0.5000 0.0000
Au2 Au 0.0000 0.0000 0.5000
Au3 Au 0.5000 0.0000 0.0000
Pd1 Pd 0.0000 0.0000 0.0000
```

If we sort the structures by their calculated energies, the order from most to least stable is w, x.